# 1
A plane-wave DFT calculation with GGA-PBEsol was carried out for an optimized crystal structure of Ca2TcIr.

```
Ca2TcIr
1.0
-0.007 -2.857 -0.777
4.247 -0.403 1.443
-1.860 -1.379 5.089
Tc Ca Ir
1 2 1
direct
0.500 0.500 0.500 Tc
0.000 0.000 0.245 Ca
0.000 0.000 0.755 Ca
0.500 0.500 0.000 Ir
```

Energy   -5.84 eV per atom
N(E_F)   4.37 states/eV/cell
Relative energy among the computed polymorphs   0 meV/atom
Symmetry   No. 47
Mass density   8.25 g cm⁻³


# 2
A plane-wave DFT calculation with GGA-PBEsol was carried out for an optimized crystal structure of CaTcIr2.

```
CaTcIr2
1.0
2.793 0.000 0.000
1.397 2.419 0.000
1.397 0.806 9.278
Ir Tc Ca
2 1 1
direct
0.757 0.757 0.730 Ir
0.243 0.243 0.270 Ir
0.500 0.500 0.500 Tc
0.000 0.000 0.000 Ca
```

Energy   -8.04 eV per atom
N(E_F)   4.87 states/eV/cell
Relative energy among the computed polymorphs   0 meV/atom
Symmetry   No. 166
Mass density   13.84 g cm⁻³


# 3
A plane-wave DFT calculation with GGA-PBEsol was carried out for an optimized crystal structure of CaTcIr.

```
CaTcIr
1.0
-2.238 1.819 0.096
-1.789 -2.223 0.432
2.777 0.811 6.037
Ca Tc Ir
1 1 1
direct
0.006 0.006 0.011 Ca
0.308 0.308 0.615 Tc
0.687 0.687 0.374 Ir
```

Energy   -7.56 eV per atom
N(E_F)   3.94 states/eV/cell
Relative energy among the computed polymorphs   0 meV/atom
Symmetry   No. 107
Mass density   10.33 g cm⁻³


# 4
A plane-wave DFT calculation with GGA-PBEsol was carried out for an optimized crystal structure of Ca4TcIr.

```
Ca4TcIr
1.0
-0.505 2.823 -5.019
0.829 -2.802 -4.988
-4.482 -1.082 -3.487
Ca Ir Tc
4 1 1
direct
0.375 0.874 0.375 Ca
0.874 0.375 0.375 Ca
0.375 0.375 0.874 Ca
0.375 0.375 0.375 Ca
0.750 0.750 0.750 Ir
0.000 0.000 0.000 Tc
```

Energy   -3.71 eV per atom
N(E_F)   6.90 states/eV/cell
Symmetry   No. 216
Mass density   5.48 g cm⁻³


# 5
A plane-wave DFT calculation with GGA-PBEsol was carried out for an optimized crystal structure of Ca2TcIr.

```
Ca2TcIr
1.0
2.910 0.000 0.000
-1.455 4.675 0.037
0.000 -0.658 5.412
Ir Tc Ca
1 1 2
direct
0.500 0.000 0.000 Ir
0.000 0.000 0.500 Tc
0.245 0.489 0.245 Ca
0.755 0.511 0.755 Ca
```

Energy   -5.79 eV per atom
N(E_F)   4.55 states/eV/cell
Relative energy among the computed polymorphs   50 meV/atom
Symmetry   No. 12
Mass density   8.35 g cm⁻³


# 6
A plane-wave DFT calculation with GGA-PBEsol was carried out for an optimized crystal structure of CaTeIr.

```
CaTeIr
1.0
-1.072 1.375 -3.167
-3.294 0.585 1.370
3.674 3.770 2.455
Ca Te Ir
1 1 1
direct
0.998 0.998 0.996 Ca
0.710 0.710 0.420 Te
0.292 0.292 0.584 Ir
```

Energy   -5.38 eV per atom
N(E_F)   2.74 states/eV/cell
Relative energy among the computed polymorphs   0 meV/atom
Symmetry   No. 107
Mass density   8.77 g cm⁻³
E_form (uncorrected)   -0.2145 eV per atom


# 7
A plane-wave DFT calculation with GGA-PBEsol was carried out for an optimized crystal structure of CaTeIr2.

```
CaTeIr2
1.0
-2.478 -0.677 -1.880
-2.318 -1.819 3.711
0.459 5.678 0.045
Ir Te Ca
2 1 1
direct
0.755 0.255 0.509 Ir
0.029 0.029 0.058 Ir
0.470 0.470 0.939 Te
0.247 0.747 0.493 Ca
```

Energy   -6.32 eV per atom
N(E_F)   3.02 states/eV/cell
Symmetry   No. 44
Mass density   12.33 g cm⁻³
E_form (uncorrected)   0.0099 eV per atom


# 8
A plane-wave DFT calculation with GGA-PBEsol was carried out for an optimized crystal structure of Ca2TeIr.

```
Ca2TeIr
1.0
3.766 0.000 0.000
0.000 3.766 0.000
0.000 0.000 6.371
Ca Ir Te
2 1 1
direct
0.000 0.000 0.234 Ca
0.000 0.000 0.766 Ca
0.500 0.500 0.000 Ir
0.500 0.500 0.500 Te
```

Energy   -4.99 eV per atom
N(E_F)   2.27 states/eV/cell
Symmetry   No. 123
Mass density   7.35 g cm⁻³
E_form (uncorrected)   -0.5908 eV per atom


# 9
A plane-wave DFT calculation with GGA-PBEsol was carried out for an optimized crystal structure of CaTeIr2.

```
CaTeIr2
1.0
3.075 0.000 0.000
-1.538 4.632 0.014
0.000 -0.898 5.109
Ca Te Ir
1 1 2
direct
0.500 0.000 0.000 Ca
0.000 0.000 0.500 Te
0.746 0.492 0.725 Ir
0.254 0.508 0.275 Ir
```

Energy   -6.23 eV per atom
N(E_F)   2.47 states/eV/cell
Symmetry   No. 12
Mass density   12.59 g cm⁻³
E_form (uncorrected)   0.0955 eV per atom


# 10
A plane-wave DFT calculation with GGA-PBEsol was carried out for an optimized crystal structure of CaTeIr.

```
CaTeIr
1.0
3.419 0.000 0.000
0.000 4.329 0.000
-1.710 -2.165 4.372
Ir Te Ca
1 1 1
direct
0.643 0.643 0.286 Ir
0.345 0.345 0.690 Te
0.012 0.012 0.024 Ca
```

Energy   -5.24 eV per atom
N(E_F)   2.12 states/eV/cell
Relative energy among the computed polymorphs   140 meV/atom
Symmetry   No. 44
Mass density   9.24 g cm⁻³
E_form (uncorrected)   -0.0742 eV per atom


# 11
A plane-wave DFT calculation with GGA-PBEsol was carried out for an optimized crystal structure of Ca2TeIr.

```
Ca2TeIr
1.0
4.265 0.000 0.000
0.000 4.265 0.000
-2.133 -2.133 4.954
Ca Ir Te
2 1 1
direct
0.750 0.250 0.500 Ca
0.000 0.000 0.000 Ca
0.500 0.500 0.000 Ir
0.250 0.750 0.500 Te
```

Energy   -4.81 eV per atom
N(E_F)   4.40 states/eV/cell
Symmetry   No. 119
Mass density   7.37 g cm⁻³
E_form (uncorrected)   -0.4095 eV per atom


# 12
A plane-wave DFT calculation with GGA-PBEsol was carried out for an optimized crystal structure of Ca2TeIr.

```
Ca2TeIr
1.0
-3.588 -1.715 1.347
-0.254 -2.246 -3.539
3.145 -4.508 2.636
Te Ca Ir
1 2 1
direct
0.500 0.500 0.825 Te
0.500 0.500 0.332 Ca
0.000 0.000 0.934 Ca
0.000 0.000 0.409 Ir
```

Energy   -4.70 eV per atom
N(E_F)   4.53 states/eV/cell
Symmetry   No. 99
Mass density   6.18 g cm⁻³
E_form (uncorrected)   -0.2971 eV per atom